No. 1
A relaxed structure of Ho4Si2H, computed with GGA-PBE.

The structure in POSCAR format:
```
Ho4Si2H
1.0
-4.830 1.493 3.389
-3.814 -2.979 -4.124
3.056 -7.395 2.514
Ho Si H
8 4 2
direct
0.515 0.500 0.266
0.097 0.750 0.911
0.903 0.250 0.089
0.515 0.000 0.266
0.930 0.250 0.621
0.485 0.000 0.734
0.485 0.500 0.734
0.070 0.750 0.379
0.705 0.750 0.044
0.295 0.250 0.956
0.241 0.250 0.429
0.759 0.750 0.571
0.253 0.750 0.190
0.747 0.250 0.810
```

***

No. 2
A relaxed structure of CdPC2, computed with GGA-PBE.

The structure in POSCAR format:
```
CdPC2
1.0
-0.958 1.574 3.658
-3.928 0.511 1.044
-1.680 -2.382 2.877
P C Cd
1 2 1
direct
0.000 0.000 0.000
0.250 0.250 0.250
0.750 0.750 0.750
0.500 0.500 0.500
```

- E_form: 2.42 eV/atom

***

No. 3
A relaxed structure of MgNiAs2, computed with GGA-PBE.

The structure in POSCAR format:
```
MgNiAs2
1.0
-0.374 -5.150 4.322
2.009 -6.416 0.376
0.873 6.618 -0.881
As Mg Ni
2 1 1
direct
0.059 0.059 0.000
0.780 0.280 0.500
0.445 0.445 0.000
0.216 0.716 0.500
```

- E_form: -0.17 eV/atom

***

Number 1: total DFT energy (no corrections) -36.60 eV per formula unit, calculated volume 305.4 Å³/cell. Number 2: total DFT energy (no corrections) -15.08 eV per formula unit, calculated volume 48.6 Å³/cell. Number 3: total DFT energy (no corrections) -17.37 eV per formula unit, calculated volume 69.7 Å³/cell.